1.
Below is a geometry-optimized Ti12Ga3Pd structure, with properties calculated at the PBE-GGA level.

Results
M_tot, μB per atom: 0.000
Crystal system: tetragonal
Raw total energy, eV/atom: -7.110
Formation energy from the elements, meV per atom: -296

Cell lengths 4.0030, 4.0030, 16.2319 Å; angles 90.00, 90.00, 90.00 degrees
With the nearest neighbours (Å) after each atom.
Sites, in units of the cell vectors:
Ti1 0.0000 0.0000 0.0000  4 Ga 2.83, 8 Ti 2.84
Ti2 0.0000 0.0000 0.2492  8 Ti 2.82-2.86, 4 Ga 2.83
Ti3 0.0000 0.0000 0.5000  4 Pd 2.83, 8 Ti 2.89
Ti4 0.0000 0.0000 0.7508  8 Ti 2.82-2.86, 4 Ga 2.83
Ti5 0.0000 0.5000 0.1237  8 Ti 2.83-2.86, 4 Ga 2.84-2.86
Ti6 0.0000 0.5000 0.3720  2 Ga 2.82, 8 Ti 2.82-2.89, 2 Pd 2.89
Ti7 0.0000 0.5000 0.6280  2 Ga 2.82, 8 Ti 2.82-2.89, 2 Pd 2.89
Ti8 0.0000 0.5000 0.8763  8 Ti 2.83-2.86, 4 Ga 2.84-2.86
Ti9 0.5000 0.0000 0.1237  8 Ti 2.83-2.86, 4 Ga 2.84-2.86
Ti10 0.5000 0.0000 0.3720  2 Ga 2.82, 8 Ti 2.82-2.89, 2 Pd 2.89
Ti11 0.5000 0.0000 0.6280  2 Ga 2.82, 8 Ti 2.82-2.89, 2 Pd 2.89
Ti12 0.5000 0.0000 0.8763  8 Ti 2.83-2.86, 4 Ga 2.84-2.86
Ga1 0.5000 0.5000 0.0000  12 Ti 2.83-2.84
Ga2 0.5000 0.5000 0.2499  12 Ti 2.82-2.86
Ga3 0.5000 0.5000 0.7501  12 Ti 2.82-2.86
Pd1 0.5000 0.5000 0.5000  12 Ti 2.83-2.89



2.
Below is a geometry-optimized V2SnCl2 structure, with properties calculated at the PBE-GGA level.

Results
M_tot, μB per atom: 0.000
Crystal system: tetragonal
Raw total energy, eV/atom: -5.155
E_form (uncorrected), eV per atom: 0.03

Cell lengths 4.2963, 4.2963, 10.3212 Å; angles 90.00, 90.00, 90.00 degrees
With the nearest neighbours (Å) after each atom.
Sites, in units of the cell vectors:
V1 0.0000 0.0000 0.0957  1 V 1.97
V2 0.0000 0.0000 0.9043  1 V 1.97
V3 0.5000 0.5000 0.4043  1 V 1.97
V4 0.5000 0.5000 0.5957  1 V 1.97
Sn1 0.0000 0.0000 0.5000  8 V 3.19, 8 Cl 3.36
Sn2 0.5000 0.5000 0.0000  8 V 3.19, 8 Cl 3.36
Cl1 0.0000 0.5000 0.2500  4 V 2.67
Cl2 0.0000 0.5000 0.7500  4 V 2.67
Cl3 0.5000 0.0000 0.2500  4 V 2.67
Cl4 0.5000 0.0000 0.7500  4 V 2.67



3.
Below is a geometry-optimized ScSnAu structure, with properties calculated at the PBE-GGA level.

Results
M_tot, μB per atom: 0.000
Crystal system: cubic
Raw total energy, eV/atom: -5.298
Formation energy from the elements, meV per atom: -761

Cell lengths 6.5072, 6.5072, 6.5072 Å; angles 90.00, 90.00, 90.00 degrees
With the nearest neighbours (Å) after each atom.
Sites, in units of the cell vectors:
Sc1 0.0000 0.0000 0.0000  4 Au 2.82
Sc2 0.0000 0.5000 0.5000  4 Au 2.82
Sc3 0.5000 0.0000 0.5000  4 Au 2.82
Sc4 0.5000 0.5000 0.0000  4 Au 2.82
Sn1 0.0000 0.0000 0.5000  4 Au 2.82
Sn2 0.0000 0.5000 0.0000  4 Au 2.82
Sn3 0.5000 0.0000 0.0000  4 Au 2.82
Sn4 0.5000 0.5000 0.5000  4 Au 2.82
Au1 0.2500 0.2500 0.7500  4 Sn 2.82, 4 Sc 2.82
Au2 0.2500 0.7500 0.2500  4 Sn 2.82, 4 Sc 2.82
Au3 0.7500 0.2500 0.2500  4 Sn 2.82, 4 Sc 2.82
Au4 0.7500 0.7500 0.7500  4 Sc 2.82, 4 Sn 2.82



4.
Below is a geometry-optimized LiPmTlBr5 structure, with properties calculated at the PBE-GGA level.

Results
M_tot, μB per atom: 0.000
Crystal system: monoclinic
Raw total energy, eV/atom: -3.706
E_form (uncorrected), eV per atom: -1.53

Cell lengths 7.9486, 7.9486, 10.6963 Å; angles 103.44, 103.44, 107.89 degrees
With the nearest neighbours (Å) after each atom.
Sites, in units of the cell vectors:
Li1 0.1912 0.8088 0.7500  4 Br 2.54-2.58
Li2 0.8088 0.1912 0.2500  4 Br 2.54-2.58
Pm1 0.5000 0.5000 0.0000  6 Br 2.87-2.91
Pm2 0.5000 0.5000 0.5000  6 Br 2.87-2.91
Tl1 0.1383 0.8617 0.2500  5 Br 3.33-3.51
Tl2 0.8617 0.1383 0.7500  5 Br 3.33-3.51
Br1 0.1172 0.2509 0.4326  1 Li 2.58, 1 Pm 2.88
Br2 0.1818 0.5784 0.8802  1 Li 2.54
Br3 0.2509 0.1172 0.9326  1 Li 2.58, 1 Pm 2.88
Br4 0.4116 0.5884 0.2500  2 Pm 2.91
Br5 0.4216 0.8182 0.6198  1 Li 2.54
Br6 0.5784 0.1818 0.3802  1 Li 2.54
Br7 0.5884 0.4116 0.7500  2 Pm 2.91
Br8 0.7491 0.8828 0.0674  1 Li 2.58, 1 Pm 2.88
Br9 0.8182 0.4216 0.1198  1 Li 2.54
Br10 0.8828 0.7491 0.5674  1 Li 2.58, 1 Pm 2.88



5.
Below is a geometry-optimized MgAsPb2 structure, with properties calculated at the PBE-GGA level.

Results
M_tot, μB per atom: 0.000
Crystal system: cubic
Raw total energy, eV/atom: -3.320
Formation energy from the elements, meV per atom: 95

Cell lengths 7.5039, 7.5039, 7.5039 Å; angles 90.00, 90.00, 90.00 degrees
With the nearest neighbours (Å) after each atom.
Sites, in units of the cell vectors:
Mg1 0.0000 0.0000 0.0000  4 As 3.25, 4 Pb 3.25
Mg2 0.0000 0.5000 0.5000  4 As 3.25, 4 Pb 3.25
Mg3 0.5000 0.0000 0.5000  4 As 3.25, 4 Pb 3.25
Mg4 0.5000 0.5000 0.0000  4 As 3.25, 4 Pb 3.25
As1 0.2500 0.2500 0.7500  4 Pb 3.25, 4 Mg 3.25
As2 0.2500 0.7500 0.2500  4 Pb 3.25, 4 Mg 3.25
As3 0.7500 0.2500 0.2500  4 Pb 3.25, 4 Mg 3.25
As4 0.7500 0.7500 0.7500  4 Pb 3.25, 4 Mg 3.25
Pb1 0.0000 0.0000 0.5000  4 As 3.25, 4 Pb 3.25
Pb2 0.0000 0.5000 0.0000  4 As 3.25, 4 Pb 3.25
Pb3 0.2500 0.2500 0.2500  4 Pb 3.25, 4 Mg 3.25
Pb4 0.2500 0.7500 0.7500  4 Pb 3.25, 4 Mg 3.25
Pb5 0.5000 0.0000 0.0000  4 As 3.25, 4 Pb 3.25
Pb6 0.5000 0.5000 0.5000  4 As 3.25, 4 Pb 3.25
Pb7 0.7500 0.2500 0.7500  4 Pb 3.25, 4 Mg 3.25
Pb8 0.7500 0.7500 0.2500  4 Pb 3.25, 4 Mg 3.25



6.
Below is a geometry-optimized Pu3TeAs2Pd9 structure, with properties calculated at the PBE-GGA level.

Results
M_tot, μB per atom: 1.082
Crystal system: trigonal
Raw total energy, eV/atom: -7.110
E_form (uncorrected), eV per atom: -0.30

Cell lengths 7.6915, 7.6915, 6.4291 Å; angles 90.00, 90.00, 120.00 degrees
With the nearest neighbours (Å) after each atom.
Sites, in units of the cell vectors:
Pu1 0.0000 0.0000 0.0000  6 Pd 3.16, 2 Te 3.21
Pu2 0.3333 0.6667 0.6651  6 Pd 3.00-3.09, 2 As 3.09-3.34
Pu3 0.6667 0.3333 0.3349  6 Pd 3.00-3.09, 2 As 3.09-3.34
Te1 0.0000 0.0000 0.5000  6 Pd 2.58
As1 0.3333 0.6667 0.1456  6 Pd 2.41
As2 0.6667 0.3333 0.8544  6 Pd 2.41
Pd1 0.0000 0.5000 0.0000  2 As 2.41
Pd2 0.1758 0.3515 0.3310  1 As 2.41, 1 Te 2.58
Pd3 0.1758 0.8242 0.3310  1 As 2.41, 1 Te 2.58
Pd4 0.3515 0.1758 0.6690  1 As 2.41, 1 Te 2.58
Pd5 0.5000 0.0000 0.0000  2 As 2.41
Pd6 0.5000 0.5000 0.0000  2 As 2.41
Pd7 0.6485 0.8242 0.3310  1 As 2.41, 1 Te 2.58
Pd8 0.8242 0.1758 0.6690  1 As 2.41, 1 Te 2.58
Pd9 0.8242 0.6485 0.6690  1 As 2.41, 1 Te 2.58



Number 1: Fermi-level density of states 1.19 states/eV per atom. Number 2: Fermi-level density of states 0.86 states/eV per atom. Number 3: Fermi-level density of states 0.06 states/eV per atom. Number 4: Fermi-level density of states 0.00 states/eV per atom. Number 5: Fermi-level density of states 0.70 states/eV per atom. Number 6: Fermi-level density of states 3.71 states/eV per atom.